[1]
CdNi2N: optimized geometry, PBE.

```
CdNi2N
1.0
-2.599 0.399 -1.168
-2.361 -0.789 1.442
-2.014 6.672 3.221
Ni N Cd
2 1 1
direct
0.121 0.121 0.637
0.879 0.879 0.363
0.500 0.500 0.500
0.000 0.000 0.000
```

## Properties
formation energy from raw total energies = 0.40 eV per atom
spin magnetization = 0.00 μB/atom
energy above the most stable polymorph in this dataset = 214 meV/atom



[2]
Cd2Ni6N: optimized geometry, PBE.

```
Cd2Ni6N
1.0
4.637 0.000 2.677
1.546 4.372 2.677
0.000 0.000 5.355
Cd Ni N
2 6 1
direct
0.250 0.250 0.250
0.750 0.750 0.750
0.253 0.747 0.747
0.253 0.747 0.253
0.747 0.253 0.747
0.747 0.253 0.253
0.747 0.747 0.253
0.253 0.253 0.747
0.000 0.000 0.000
```

## Properties
formation energy from raw total energies = -0.01 eV per atom
spin magnetization = 0.00 μB/atom



[3]
Cd2NiN2: optimized geometry, PBE.

```
Cd2NiN2
1.0
-3.150 -4.901 -0.210
3.383 -2.351 4.125
-1.417 -2.717 3.734
Ni N Cd
1 2 2
direct
0.000 0.000 0.000
0.382 0.382 0.236
0.618 0.618 0.764
0.750 0.250 0.500
0.250 0.750 0.500
```

## Properties
formation energy from raw total energies = 0.44 eV per atom
spin magnetization = 0.00 μB/atom



[4]
CdNi4N: optimized geometry, PBE.

```
CdNi4N
1.0
-0.623 -3.310 1.378
5.505 -1.561 -1.260
2.087 2.244 6.337
Cd Ni N
2 8 2
direct
0.000 0.541 0.750
0.000 0.459 0.250
0.000 0.000 0.500
0.000 0.000 0.000
0.500 0.933 0.750
0.500 0.067 0.250
0.500 0.695 0.053
0.500 0.305 0.947
0.500 0.695 0.447
0.500 0.305 0.553
0.000 0.970 0.750
0.000 0.030 0.250
```

## Properties
formation energy from raw total energies = 0.24 eV per atom
spin magnetization = 0.13 μB/atom
energy above the most stable polymorph in this dataset = 78 meV/atom



[5]
CdNiN2: optimized geometry, PBE.

```
CdNiN2
1.0
1.398 -4.964 3.685
3.343 -2.866 4.558
0.551 -2.856 5.632
Ni N Cd
1 2 1
direct
0.500 0.500 0.500
0.883 0.883 0.883
0.117 0.117 0.117
0.000 0.000 0.000
```

## Properties
formation energy from raw total energies = 0.71 eV per atom
spin magnetization = 0.00 μB/atom



[6]
CdNi2N: optimized geometry, PBE.

```
CdNi2N
1.0
0.000 2.928 2.928
2.928 0.000 2.928
2.928 2.928 0.000
Ni N Cd
2 1 1
direct
0.250 0.250 0.250
0.750 0.750 0.750
0.000 0.000 0.000
0.500 0.500 0.500
```

## Properties
formation energy from raw total energies = 1.16 eV per atom
spin magnetization = 0.47 μB/atom
energy above the most stable polymorph in this dataset = 971 meV/atom